# Li4Fe2TeWO12 PBE+U relaxed
# Magnetic moment = 7.9 μB per formula unit
# Calculated total energy = -5.9895 eV per atom
data_Li4Fe2TeWO12
_chemical_formula_sum 'Li4 Fe2 Te1 W1 O12'
_symmetry_space_group_name_H-M 'P 1'
_symmetry_Int_Tables_number 1
_symmetry_space_group_name_Hall 'P 1'
_cell_length_a 5.129
_cell_length_b 5.422
_cell_length_c 7.466
_cell_angle_alpha 85.60
_cell_angle_beta 89.96
_cell_angle_gamma 89.99
loop_
_atom_site_label
_atom_site_type_symbol
_atom_site_fract_x
_atom_site_fract_y
_atom_site_fract_z
Li1 Li 0.000 0.000 0.000
Li2 Li 0.006 0.008 0.504
Li3 Li 0.504 0.513 0.004
Li4 Li 0.511 0.506 0.499
Fe1 Fe 0.004 0.581 0.787
Fe2 Fe 0.505 0.077 0.289
Te1 Te 0.505 0.087 0.791
W1 W 0.006 0.578 0.288
O1 O 0.125 0.603 0.047
O2 O 0.185 0.919 0.737
O3 O 0.196 0.286 0.359
O4 O 0.306 0.782 0.360
O5 O 0.334 0.408 0.736
O6 O 0.374 0.110 0.037
O7 O 0.638 0.111 0.549
O8 O 0.689 0.414 0.242
O9 O 0.696 0.792 0.871
O10 O 0.801 0.284 0.870
O11 O 0.827 0.906 0.244
O12 O 0.888 0.607 0.541